1.
## MoPtAu2 (PBE-GGA)

Data for a geometry-optimized MoPtAu2 structure.

E_form: 0.14 eV per atom
DOS at the Fermi energy: 2.41 states/eV/f.u.
electronic total energy: -68.6 eV/cell

Cell lengths 2.871, 2.871, 28.108 Å; angles 90.00, 90.00, 120.00 degrees
Element x y z (fractional)
Mo  0.000  0.000  0.000
Mo  0.333  0.667  0.667
Mo  0.667  0.333  0.333
Pt  0.000  0.000  0.500
Pt  0.333  0.667  0.167
Pt  0.667  0.333  0.833
Au  0.000  0.000  0.251
Au  0.000  0.000  0.749
Au  0.333  0.667  0.415
Au  0.333  0.667  0.918
Au  0.667  0.333  0.082
Au  0.667  0.333  0.585

---

2.
## Mo2PtAu (PBE-GGA)

Data for a geometry-optimized Mo2PtAu structure.

E_form: 0.03 eV per atom
DOS at the Fermi energy: 2.93 states/eV/f.u.
electronic total energy: -61.7 eV/cell

Cell lengths 9.414, 2.748, 5.035 Å; angles 90.00, 98.43, 90.00 degrees
Element x y z (fractional)
Mo  0.000  0.000  0.000
Mo  0.250  0.000  0.746
Mo  0.500  0.500  0.000
Mo  0.750  0.500  0.746
Pt  0.010  0.500  0.514
Pt  0.510  0.000  0.514
Au  0.251  0.500  0.249
Au  0.751  0.000  0.249

---

3.
## Mo2PtAu (PBE-GGA)

Data for a geometry-optimized Mo2PtAu structure.

E_form: 0.01 eV per atom
DOS at the Fermi energy: 3.02 states/eV/f.u.
electronic total energy: -31.0 eV/cell

Cell lengths 2.749, 2.749, 8.472 Å; angles 90.00, 90.00, 90.00 degrees
Element x y z (fractional)
Mo  0.000  0.000  0.243
Mo  0.000  0.000  0.757
Pt  0.500  0.500  0.000
Au  0.500  0.500  0.500

---

4.
## Mo2PtAu (PBE-GGA)

Data for a geometry-optimized Mo2PtAu structure.

E_form: -0.01 eV per atom
DOS at the Fermi energy: 1.84 states/eV/f.u.
electronic total energy: -31.0 eV/cell

Cell lengths 2.770, 2.770, 8.481 Å; angles 90.00, 90.00, 90.00 degrees
Element x y z (fractional)
Mo  0.000  0.000  0.000
Mo  0.500  0.500  0.262
Pt  0.000  0.000  0.483
Au  0.500  0.500  0.750

---

5.
## MoPtAu2 (PBE-GGA)

Data for a geometry-optimized MoPtAu2 structure.

E_form: 0.26 eV per atom
DOS at the Fermi energy: 1.94 states/eV/f.u.
electronic total energy: -89.6 eV/cell

Cell lengths 6.446, 6.446, 6.446 Å; angles 90.00, 90.00, 90.00 degrees
Element x y z (fractional)
Mo  0.000  0.000  0.000
Mo  0.000  0.500  0.500
Mo  0.500  0.000  0.500
Mo  0.500  0.500  0.000
Pt  0.000  0.000  0.500
Pt  0.000  0.500  0.000
Pt  0.500  0.000  0.000
Pt  0.500  0.500  0.500
Au  0.250  0.250  0.250
Au  0.250  0.250  0.750
Au  0.250  0.750  0.250
Au  0.250  0.750  0.750
Au  0.750  0.250  0.250
Au  0.750  0.250  0.750
Au  0.750  0.750  0.250
Au  0.750  0.750  0.750

---

6.
## MoPtAu2 (PBE-GGA)

Data for a geometry-optimized MoPtAu2 structure.

E_form: 0.05 eV per atom
DOS at the Fermi energy: 3.41 states/eV/f.u.
electronic total energy: -23.2 eV/cell

Cell lengths 2.818, 3.909, 6.157 Å; angles 90.00, 90.00, 90.00 degrees
Element x y z (fractional)
Mo  0.000  0.000  0.000
Pt  0.500  0.500  0.800
Au  0.000  0.000  0.528
Au  0.500  0.500  0.264

---

7.
## Mo2Pt2Au (PBE-GGA)

Data for a geometry-optimized Mo2Pt2Au structure.

E_form: -0.01 eV per atom
DOS at the Fermi energy: 4.44 states/eV/f.u.
electronic total energy: -74.1 eV/cell

Cell lengths 7.812, 7.812, 2.748 Å; angles 90.00, 90.00, 90.00 degrees
Element x y z (fractional)
Mo  0.173  0.327  0.000
Mo  0.327  0.827  0.000
Mo  0.673  0.173  0.000
Mo  0.827  0.673  0.000
Pt  0.123  0.623  0.500
Pt  0.377  0.123  0.500
Pt  0.623  0.877  0.500
Pt  0.877  0.377  0.500
Au  0.000  0.000  0.500
Au  0.500  0.500  0.500

---

8.
## MoPtAu2 (PBE-GGA)

Data for a geometry-optimized MoPtAu2 structure.

E_form: 0.12 eV per atom
DOS at the Fermi energy: 3.82 states/eV/f.u.
electronic total energy: -45.9 eV/cell

Cell lengths 9.535, 2.818, 5.006 Å; angles 90.00, 98.50, 90.00 degrees
Element x y z (fractional)
Mo  0.000  0.000  0.000
Mo  0.500  0.500  0.000
Pt  0.000  0.500  0.500
Pt  0.500  0.000  0.500
Au  0.246  0.500  0.245
Au  0.254  0.000  0.755
Au  0.746  0.000  0.245
Au  0.754  0.500  0.755

---

- Which of these has the highest E_form?
  number 5